Record 1
First-principles (PBE with a Hubbard U) data for BaVCrO5 after structural relaxation, as listed in Alexandria.

Results
Magnetic moment: 3.00 μB per formula unit
Fermi-level density of states: 0.212 states/eV/f.u.
Total DFT energy (no corrections): -118.47 eV per cell

abc: 5.960 5.960 7.441
angles: 103.91 103.91 106.10
Element x y z (fractional)
Ba (0.173, 0.827, 0.750)
Ba (0.827, 0.173, 0.250)
V (0.192, 0.808, 0.250)
V (0.808, 0.192, 0.750)
Cr (0.500, 0.500, 0.000)
Cr (0.500, 0.500, 0.500)
O (0.111, 0.274, 0.902)
O (0.209, 0.612, 0.391)
O (0.274, 0.111, 0.402)
O (0.388, 0.791, 0.109)
O (0.439, 0.561, 0.750)
O (0.561, 0.439, 0.250)
O (0.612, 0.209, 0.891)
O (0.726, 0.889, 0.598)
O (0.791, 0.388, 0.609)
O (0.889, 0.726, 0.098)

---

Record 2
First-principles (PBE with a Hubbard U) data for Ba3V2CrO9 after structural relaxation, as listed in Alexandria.

Results
Magnetic moment: 4.00 μB per formula unit
Fermi-level density of states: 2.846 states/eV/f.u.
Total DFT energy (no corrections): -107.91 eV per cell

abc: 5.673 5.673 6.916
angles: 90.00 90.00 120.00
Element x y z (fractional)
Ba (0.000, 0.000, 0.000)
Ba (0.333, 0.667, 0.668)
Ba (0.667, 0.333, 0.332)
V (0.333, 0.667, 0.171)
V (0.667, 0.333, 0.829)
Cr (0.000, 0.000, 0.500)
O (0.000, 0.500, 0.000)
O (0.171, 0.341, 0.327)
O (0.171, 0.829, 0.327)
O (0.341, 0.171, 0.673)
O (0.500, 0.000, 0.000)
O (0.500, 0.500, 0.000)
O (0.659, 0.829, 0.327)
O (0.829, 0.171, 0.673)
O (0.829, 0.659, 0.673)

---

Record 3
First-principles (PBE with a Hubbard U) data for Ba3V2CrO8 after structural relaxation, as listed in Alexandria.

Results
Magnetic moment: 6.00 μB per formula unit
Fermi-level density of states: 10.093 states/eV/f.u.
Total DFT energy (no corrections): -99.62 eV per cell

abc: 5.807 5.807 7.540
angles: 90.00 90.00 120.00
Element x y z (fractional)
Ba (0.000, 0.000, 0.000)
Ba (0.333, 0.667, 0.653)
Ba (0.667, 0.333, 0.347)
V (0.333, 0.667, 0.225)
V (0.667, 0.333, 0.775)
Cr (0.000, 0.000, 0.500)
O (0.162, 0.324, 0.331)
O (0.162, 0.838, 0.331)
O (0.324, 0.162, 0.669)
O (0.333, 0.667, 0.989)
O (0.667, 0.333, 0.011)
O (0.676, 0.838, 0.331)
O (0.838, 0.162, 0.669)
O (0.838, 0.676, 0.669)

---

Record 4
First-principles (PBE with a Hubbard U) data for BaCr2WO8 after structural relaxation, as listed in Alexandria.

Results
Magnetic moment: 4.00 μB per formula unit
Total DFT energy (no corrections): -86.23 eV per cell

abc: 5.078 5.078 7.232
angles: 102.30 102.30 73.15
Element x y z (fractional)
Ba (0.000, 0.000, 0.000)
Cr (0.441, 0.441, 0.775)
Cr (0.559, 0.559, 0.225)
W (0.000, 0.000, 0.500)
O (0.223, 0.762, 0.302)
O (0.238, 0.777, 0.698)
O (0.239, 0.239, 0.571)
O (0.348, 0.348, 0.973)
O (0.652, 0.652, 0.027)
O (0.761, 0.761, 0.429)
O (0.762, 0.223, 0.302)
O (0.777, 0.238, 0.698)

---

Record 5
First-principles (PBE with a Hubbard U) data for BaCrWO6 after structural relaxation, as listed in Alexandria.

Results
Magnetic moment: 2.00 μB per formula unit
Total DFT energy (no corrections): -65.98 eV per cell

abc: 5.277 5.277 5.782
angles: 90.61 90.61 121.24
Element x y z (fractional)
Ba (0.000, 0.000, 0.000)
Cr (0.661, 0.339, 0.500)
W (0.334, 0.666, 0.500)
O (0.000, 0.396, 0.306)
O (0.391, 0.392, 0.689)
O (0.400, 0.001, 0.309)
O (0.604, 0.000, 0.694)
O (0.608, 0.609, 0.311)
O (0.999, 0.600, 0.691)

---

Record 6
First-principles (PBE with a Hubbard U) data for Ba3Cr2WO9 after structural relaxation, as listed in Alexandria.

Results
Magnetic moment: 6.00 μB per formula unit
Fermi-level density of states: 0.000 states/eV/f.u.
Total DFT energy (no corrections): -218.37 eV per cell

abc: 5.805 5.805 14.322
angles: 90.00 90.00 120.00
Element x y z (fractional)
Ba (0.000, 0.000, 0.250)
Ba (0.000, 0.000, 0.750)
Ba (0.333, 0.667, 0.104)
Ba (0.333, 0.667, 0.396)
Ba (0.667, 0.333, 0.604)
Ba (0.667, 0.333, 0.896)
Cr (0.333, 0.667, 0.658)
Cr (0.333, 0.667, 0.842)
Cr (0.667, 0.333, 0.158)
Cr (0.667, 0.333, 0.342)
W (0.000, 0.000, 0.000)
W (0.000, 0.000, 0.500)
O (0.033, 0.516, 0.750)
O (0.160, 0.320, 0.578)
O (0.160, 0.320, 0.922)
O (0.160, 0.840, 0.578)
O (0.160, 0.840, 0.922)
O (0.320, 0.160, 0.078)
O (0.320, 0.160, 0.422)
O (0.484, 0.516, 0.750)
O (0.484, 0.967, 0.750)
O (0.516, 0.033, 0.250)
O (0.516, 0.484, 0.250)
O (0.680, 0.840, 0.578)
O (0.680, 0.840, 0.922)
O (0.840, 0.160, 0.078)
O (0.840, 0.160, 0.422)
O (0.840, 0.680, 0.078)
O (0.840, 0.680, 0.422)
O (0.967, 0.484, 0.250)